Below is a relaxed structure of NaCa6Cd5, with properties calculated at the PBE level.

Computed properties:
Electronic total energy = -1.776 eV/atom
Energy of formation = -0.284 eV per atom
Total magnetic moment = 0.00 μB per cell
D(E_F) = 10.273 states/eV/f.u.
Symmetry = Immm, No. 71

POSCAR file:
```
NaCa6Cd5
1.0
-2.7558 3.8696 8.2682
2.7558 -3.8696 8.2682
2.7558 3.8696 -8.2682
Na Ca Cd
1 6 5
direct
0.0000 0.0000 0.0000
0.0856 0.8282 0.2575
0.2642 0.5000 0.7642
0.4293 0.1718 0.2575
0.5707 0.8282 0.7425
0.7358 0.5000 0.2358
0.9144 0.1718 0.7425
0.1602 0.6602 0.5000
0.3324 0.3324 0.0000
0.5000 0.0000 0.5000
0.6676 0.6676 0.0000
0.8398 0.3398 0.5000
```